VASP calculation (PBE) on an optimized crystal structure of AlRe.

Structure (POSCAR):
```
AlRe
1.0
5.180 0.000 0.000
-2.590 4.486 0.000
0.000 0.000 8.196
Al Re
6 6
Cartesian
0.000 0.000 0.000
0.000 0.000 4.098
0.000 2.991 0.571
0.000 2.991 3.527
2.590 1.495 4.669
2.590 1.495 7.624
0.000 1.533 6.147
-1.262 3.720 6.147
1.328 0.767 2.049
1.262 3.720 6.147
3.853 0.767 2.049
2.590 2.953 2.049
```

Summary:
E_tot   -7.98 eV per atom
Magnetization   0.001 μB/atom
Symmetry   P6_3/mmc (194)
Volume   15.9 Å³ per atom

***

VASP calculation (PBE) on an optimized crystal structure of Al17Re12.

Structure (POSCAR):
```
Al17Re12
1.0
-4.792 4.792 4.792
4.792 -4.792 4.792
4.792 4.792 -4.792
Al Re
17 12
Cartesian
0.000 0.000 0.000
2.976 2.976 -2.976
2.804 0.937 -0.937
2.804 -0.937 0.937
2.976 -2.976 2.976
0.937 2.804 -0.937
0.937 -0.937 2.804
6.779 0.937 0.937
1.816 1.816 1.816
-0.937 2.804 0.937
-0.937 0.937 2.804
3.854 3.854 1.987
3.854 1.987 3.854
-2.976 2.976 2.976
1.987 3.854 3.854
0.937 6.779 0.937
0.937 0.937 6.779
5.290 1.294 -1.294
5.290 -1.294 1.294
4.293 1.294 1.294
3.498 3.498 -0.498
3.498 -0.498 3.498
1.294 5.290 -1.294
1.294 -1.294 5.290
1.294 4.293 1.294
1.294 1.294 4.293
-1.294 5.290 1.294
-1.294 1.294 5.290
-0.498 3.498 3.498
```

Summary:
Magnetization   0.000 μB/atom
Excess energy over the best structure of this formula in the dataset   108 meV per atom
Symmetry   I-43m (217)
Volume   15.2 Å³ per atom

***

VASP calculation (PBE) on an optimized crystal structure of AlRe.

Structure (POSCAR):
```
AlRe
1.0
2.523 -4.201 0.000
2.523 4.201 0.000
0.000 0.000 8.189
Al Re
6 6
Cartesian
0.000 0.000 0.000
0.000 0.000 4.094
1.294 0.717 6.142
1.294 -0.717 2.047
3.752 0.717 6.142
3.752 -0.717 2.047
2.523 2.794 6.142
2.523 1.324 0.425
2.523 1.324 3.669
2.523 -1.324 4.519
2.523 -1.324 7.764
2.523 -2.794 2.047
```

Summary:
E_tot   -8.03 eV per atom
Magnetization   0.000 μB/atom
Symmetry   Cmcm (63)
Volume   14.5 Å³ per atom

***

VASP calculation (PBE) on an optimized crystal structure of AlRe4.

Structure (POSCAR):
```
AlRe4
1.0
9.527 0.000 0.000
0.000 9.527 0.000
0.000 0.000 4.953
Al Re
6 24
Cartesian
0.000 0.000 0.000
0.986 0.986 2.476
3.777 5.749 0.000
4.763 4.763 2.476
5.749 3.777 0.000
8.541 8.541 2.476
0.302 3.520 2.476
0.631 2.451 0.000
1.244 5.065 0.000
1.700 7.826 1.243
1.700 7.826 3.710
2.312 5.394 2.476
2.451 0.631 0.000
3.063 3.063 1.233
3.063 3.063 3.719
3.520 0.302 2.476
4.132 7.214 2.476
4.461 8.283 0.000
5.065 1.244 0.000
5.394 2.312 2.476
6.007 9.225 2.476
6.464 6.464 1.233
6.464 6.464 3.719
7.076 8.896 0.000
7.214 4.132 2.476
7.826 1.700 1.243
7.826 1.700 3.710
8.283 4.461 0.000
8.896 7.076 0.000
9.225 6.007 2.476
```

Summary:
E_tot   -10.67 eV per atom
Magnetization   0.000 μB/atom
Symmetry   P4_2/mnm (136)
Volume   15.0 Å³ per atom

***

What did the fourth record say?
VASP calculation (PBE) on an optimized crystal structure of AlRe4.

Structure (POSCAR):
```
AlRe4
1.0
9.527 0.000 0.000
0.000 9.527 0.000
0.000 0.000 4.953
Al Re
6 24
Cartesian
0.000 0.000 0.000
0.986 0.986 2.476
3.777 5.749 0.000
4.763 4.763 2.476
5.749 3.777 0.000
8.541 8.541 2.476
0.302 3.520 2.476
0.631 2.451 0.000
1.244 5.065 0.000
1.700 7.826 1.243
1.700 7.826 3.710
2.312 5.394 2.476
2.451 0.631 0.000
3.063 3.063 1.233
3.063 3.063 3.719
3.520 0.302 2.476
4.132 7.214 2.476
4.461 8.283 0.000
5.065 1.244 0.000
5.394 2.312 2.476
6.007 9.225 2.476
6.464 6.464 1.233
6.464 6.464 3.719
7.076 8.896 0.000
7.214 4.132 2.476
7.826 1.700 1.243
7.826 1.700 3.710
8.283 4.461 0.000
8.896 7.076 0.000
9.225 6.007 2.476
```

Summary:
E_tot   -10.67 eV per atom
Magnetization   0.000 μB/atom
Symmetry   P4_2/mnm (136)
Volume   15.0 Å³ per atom